one | ## LiIr2Cl (GGA-PBE)

Data for LiIr2Cl after structural relaxation.

Unit cell a=8.9791 b=8.9791 c=8.9791 alpha=17.78 beta=17.78 gamma=17.78
Element x y z (fractional)
Cl: 0.7500 0.7500 0.7500
Ir: 0.0002 0.0002 0.0002
Ir: 0.4998 0.4998 0.4998
Li: 0.2500 0.2500 0.2500

Summary:
symmetry: R-3m
crystal system: trigonal

---

two | ## LiIr2Cl (GGA-PBE)

Data for LiIr2Cl after structural relaxation.

Unit cell a=4.2371 b=4.2371 c=7.6945 alpha=62.81 beta=62.81 gamma=39.49
Element x y z (fractional)
Cl: 0.2517 0.2517 0.3091
Ir: 0.9906 0.9906 0.9417
Ir: 0.7822 0.7822 0.8065
Li: 0.4756 0.4756 0.4426

Summary:
symmetry: Cm
crystal system: monoclinic

---

On energetic grounds, two is preferred over the next structure by 41.6 kJ/mol of atoms.